# 1
Compound: NaNi2Ag2
Source: Alexandria via LeMat-Bulk
Functional: PBE
Structure: relaxed

Lattice parameters (Å, degrees): 7.7476 7.7476 2.7323 90.00 90.00 90.00
Last column: magnetic moment on the atom in μB.
Sites, in units of the cell vectors:
Ni (0.3906, 0.8906, 0.0000)  0.23
Ni (0.8906, 0.6094, 0.0000)  0.21
Ni (0.6094, 0.1094, 0.0000)  0.23
Ni (0.1094, 0.3906, 0.0000)  0.21
Ag (0.1831, 0.6831, 0.5000)  0.00
Ag (0.6831, 0.8169, 0.5000)  0.00
Ag (0.8169, 0.3169, 0.5000)  0.00
Ag (0.3169, 0.1831, 0.5000)  0.00
Na (0.0000, 0.0000, 0.0000)  0.00
Na (0.5000, 0.5000, 0.0000)  0.00

Density of states at the Fermi level, states/eV per cell: 8.77
Relative energy among the computed polymorphs, eV per atom: 0.000
Total magnetic moment, μB per cell: 0.85



# 2
Compound: CaMg2Br
Source: Alexandria via LeMat-Bulk
Functional: PBE
Structure: relaxed

Lattice parameters (Å, degrees): 5.7659 5.7659 6.1247 67.83 67.83 37.38
Sites, in units of the cell vectors:
Br (0.4972, 0.4972, 0.3812)
Ca (0.2242, 0.2242, 0.3483)
Mg (0.0130, 0.0130, 0.9456)
Mg (0.7656, 0.7656, 0.8248)

ΔE_f (raw), eV/f.u.: -1.8
Density of states at the Fermi level, states/eV per cell: 1.41
Relative energy among the computed polymorphs, eV per atom: 0.115
Total magnetic moment, μB per cell: 0.00



| no. | total energy (eV/atom) |
| --- | --- |
| 1 | -3.478 |
| 2 | -2.156 |